Record 1
# CrIrOsRu PBE optimized geometry
# Spin magnetization: 1.80 μB/cell
# Calculated formation energy: 297 meV/atom
data_CrIrOsRu
_chemical_formula_sum 'Cr2 Ir2 Os2 Ru2'
_space_group_name_H-M_alt 'I m m 2'
_space_group_IT_number 44
_space_group_name_Hall 'I 2 -2'
_cell_length_a 2.6811
_cell_length_b 4.2046
_cell_length_c 10.6999
_cell_angle_alpha 90.00
_cell_angle_beta 90.00
_cell_angle_gamma 90.00
loop_
_atom_site_label
_atom_site_fract_x
_atom_site_fract_y
_atom_site_fract_z
_atom_site_occupancy
Cr1 0.0000 0.0000 0.0000 1
Ir1 0.0000 0.0000 0.4277 1
Os1 0.0000 0.5000 0.7195 1
Ru1 0.0000 0.5000 0.1490 1



Record 2
# NdMg6Cd2 PBE optimized geometry
# Spin magnetization: 0.00 μB/cell
# Calculated formation energy: -111 meV/atom
data_NdMg6Cd2
_chemical_formula_sum 'Nd1 Mg6 Cd2'
_space_group_name_H-M_alt 'P 4/m m m'
_space_group_IT_number 123
_space_group_name_Hall '-P 4 2'
_cell_length_a 4.4505
_cell_length_b 4.4505
_cell_length_c 11.0458
_cell_angle_alpha 90.00
_cell_angle_beta 90.00
_cell_angle_gamma 90.00
loop_
_atom_site_label
_atom_site_fract_x
_atom_site_fract_y
_atom_site_fract_z
_atom_site_occupancy
Nd1 0.0000 0.0000 0.0000 1
Mg1 0.0000 0.0000 0.5000 1
Mg2 0.0000 0.5000 0.2911 1
Mg3 0.5000 0.5000 0.5000 1
Cd1 0.5000 0.5000 0.1253 1